Record 1
Entry from Alexandria: a PBEsol-optimized structure of La2PIr (SCAN).

## Properties
M_tot (μB/cell): 0.000
Energy of formation (eV/f.u.): -2.13
Density (g cm⁻³): 9.69
DOS(E_F) (states/eV/cell): 8.67

```
data_La2PIr
_chemical_formula_sum 'La6 P3 Ir3'
_cell_length_a 5.2003
_cell_length_b 5.2003
_cell_length_c 11.0014
_cell_angle_alpha 90.00
_cell_angle_beta 90.00
_cell_angle_gamma 120.00
_symmetry_space_group_name_H-M 'R 3 m'
_symmetry_Int_Tables_number 160
_symmetry_space_group_name_Hall 'R 3 -2"'
loop_
_atom_site_label
_atom_site_fract_x
_atom_site_fract_y
_atom_site_fract_z
La1 0.0000 0.0000 0.0000
La2 0.0000 0.0000 0.2797
P1 0.0000 0.0000 0.7457
Ir1 0.0000 0.0000 0.5382
```

***

Record 2
Entry from Alexandria: a PBEsol-optimized structure of La2PIr (SCAN).

## Properties
M_tot (μB/cell): 0.000
Energy of formation (eV/f.u.): -3.45
Density (g cm⁻³): 7.74
DOS(E_F) (states/eV/cell): 0.37

```
data_La2PIr
_chemical_formula_sum 'La8 P4 Ir4'
_cell_length_a 7.394
_cell_length_b 7.394
_cell_length_c 7.869
_cell_angle_alpha 90.00
_cell_angle_beta 90.00
_cell_angle_gamma 90.00
_symmetry_space_group_name_H-M 'I -4 2 d'
_symmetry_Int_Tables_number 122
_symmetry_space_group_name_Hall 'I -4 2bw'
loop_
_atom_site_label
_atom_site_fract_x
_atom_site_fract_y
_atom_site_fract_z
La1 0.238 0.750 0.125
P1 0.000 0.000 0.500
Ir1 0.000 0.000 0.000
```

***

Record 3
Entry from Alexandria: a PBEsol-optimized structure of La2PIr (SCAN).

## Properties
M_tot (μB/cell): 0.000
Energy of formation (eV/f.u.): -4.74
Density (g cm⁻³): 8.06
DOS(E_F) (states/eV/cell): 0.10

```
data_La2PIr
_chemical_formula_sum 'La6 P3 Ir3'
_cell_length_a 4.1926
_cell_length_b 4.1926
_cell_length_c 20.3529
_cell_angle_alpha 90.00
_cell_angle_beta 90.00
_cell_angle_gamma 120.00
_symmetry_space_group_name_H-M 'R -3 m'
_symmetry_Int_Tables_number 166
_symmetry_space_group_name_Hall '-R 3 2"'
loop_
_atom_site_label
_atom_site_fract_x
_atom_site_fract_y
_atom_site_fract_z
La1 0.0000 0.0000 0.2474
P1 0.0000 0.0000 0.0000
Ir1 0.0000 0.0000 0.5000
```